1.
The following is a PBE calculation of a relaxed structure of GdPaRu, from the Alexandria database.

Geometry as POSCAR:
```
GdPaRu
1.0
-3.4400 1.1074 3.1047
-3.7748 -2.8644 0.4947
-0.5367 -2.5681 3.9769
Pa Ru Gd
1 1 1
Direct
0.5000 0.5000 0.5000 Pa
0.2500 0.2500 0.2500 Ru
0.0000 0.0000 0.0000 Gd
```

## Properties
density of states at the Fermi level: 5.7 states/eV/f.u.
space-group type: F-43m, No. 216
ΔE to the lowest computed polymorph: 0.302 eV/atom
energy relative to the elements: -0.003 eV per atom

=====

2.
The following is a PBE calculation of a relaxed structure of GdPaRu4, from the Alexandria database.

Geometry as POSCAR:
```
GdPaRu4
1.0
-5.3951 -2.6867 -1.7335
-0.1396 -6.0978 -1.4589
-2.8448 -4.0750 3.8252
Ru Pa Gd
4 1 1
Direct
0.7943 0.4019 0.4019 Ru
0.4019 0.4019 0.7943 Ru
0.4019 0.4019 0.4019 Ru
0.4019 0.7943 0.4019 Ru
0.0000 0.0000 0.0000 Pa
0.2500 0.2500 0.2500 Gd
```

## Properties
density of states at the Fermi level: 13.1 states/eV/f.u.
space-group type: F-43m, No. 216
energy relative to the elements: 1.917 eV per atom

=====

3.
The following is a PBE calculation of a relaxed structure of GdPaTcRu, from the Alexandria database.

Geometry as POSCAR:
```
GdPaTcRu
1.0
4.8627 0.0000 0.0000
2.4313 4.2112 0.0000
2.4313 1.4037 3.9704
Gd Ru Tc Pa
1 1 1 1
Direct
0.0000 0.0000 0.0000 Gd
0.7500 0.7500 0.7500 Ru
0.2500 0.2500 0.2500 Tc
0.5000 0.5000 0.5000 Pa
```

## Properties
density of states at the Fermi level: 3.7 states/eV/f.u.
space-group type: F-43m, No. 216
energy relative to the elements: -0.227 eV per atom

=====

4.
The following is a PBE calculation of a relaxed structure of GdPaS2, from the Alexandria database.

Geometry as POSCAR:
```
GdPaS2
1.0
-2.0226 3.2050 -0.6853
-1.5765 0.5779 -3.4660
-6.7454 -1.8090 0.6268
S Gd Pa
2 1 1
Direct
0.2505 0.2505 0.2486 S
0.7495 0.7495 0.7514 S
0.0000 0.0000 0.0000 Gd
0.5000 0.5000 0.5000 Pa
```

## Properties
density of states at the Fermi level: 4.4 states/eV/f.u.
space-group type: R-3m, No. 166
ΔE_f (raw): -173.8 kJ/mol of atoms

=====

- What is the formula in the third record?
  GdPaTcRu